ScNiF2: optimized geometry, PBE+U.

Cell: 3.840 3.840 13.921 Å, 90.00 90.00 90.00°
Sites, in units of the cell vectors:
1 Sc 0.000 0.000 0.000
2 Sc 0.000 0.500 0.250
3 Sc 0.500 0.000 0.750
4 Sc 0.500 0.500 0.500
5 Ni 0.000 0.000 0.500
6 Ni 0.000 0.500 0.750
7 Ni 0.500 0.000 0.250
8 Ni 0.500 0.500 0.000
9 F 0.219 0.250 0.125
10 F 0.250 0.719 0.375
11 F 0.250 0.781 0.875
12 F 0.281 0.250 0.625
13 F 0.719 0.750 0.625
14 F 0.750 0.219 0.875
15 F 0.750 0.281 0.375
16 F 0.781 0.750 0.125

Calculated values
Space group ... I-42d
M_tot ... 0.000 μB per atom
Density of states at the Fermi level ... 0.5960 states/eV/atom
Energy relative to the lowest polymorph listed for this composition ... 194 meV/atom